1.
This record from the Alexandria database describes LiAl2HgS4 after structural relaxation. The functional is PBE-GGA.

The space group is I-42m (No. 121) and the conventional cell measures 5.311, 5.311 and 12.807 Å, with angles of 90.00, 90.00 and 90.00 degrees. The asymmetric unit holds Li at (0.000, 0.000, 0.000), Al at (0.000, 0.500, 0.250), Hg at (0.000, 0.000, 0.500) and S at (0.224, 0.224, 0.148).

The value obtained for the total energy is -4.103 eV/atom. The value obtained for the size of the total moment is 0.000 μB per atom.

2.
This record from the Alexandria database describes Pm3NdAl after structural relaxation. The functional is PBE-GGA.

The space group is Pnma (No. 62) and the conventional cell measures 6.680, 10.144 and 9.508 Å, with angles of 90.00, 90.00 and 90.00 degrees. The asymmetric unit holds Pm at (0.105, 0.061, 0.182), Pm at (0.249, 0.250, 0.498), Nd at (0.248, 0.250, 0.866) and Al at (0.000, 0.000, 0.500).

The polymorph energy (0 for the lowest one) is 71.0 meV per atom. The value obtained for the size of the total moment is 0.000 μB per atom. The calculated formation energy is -0.0478 eV per atom.

3.
This record from the Alexandria database describes YNbPd after structural relaxation. The functional is PBE-GGA.

The space group is P4/mmm (No. 123) and the conventional cell measures 3.380, 3.380 and 10.922 Å, with angles of 90.00, 90.00 and 90.00 degrees. The asymmetric unit holds Y at (0.000, 0.000, 0.168), Nb at (0.500, 0.500, 0.365), Pd at (0.000, 0.000, 0.500) and Pd at (0.500, 0.500, 0.000).

The value obtained for the size of the total moment is 0.000 μB per atom. The calculated formation energy is -0.1883 eV per atom.

4.
This record from the Alexandria database describes Pm2GaAg3O6 after structural relaxation. The functional is PBE-GGA.

The space group is C2/m (No. 12) and the conventional cell measures 6.014, 10.452 and 6.564 Å, with angles of 90.00, 107.89 and 90.00 degrees. The asymmetric unit holds Pm at (0.000, 0.167, 0.000), Ga at (0.000, 0.500, 0.000), Ag at (0.000, 0.000, 0.500), Ag at (0.000, 0.354, 0.500), O at (0.091, 0.353, 0.834) and O at (0.147, 0.000, 0.833).

The value obtained for the total energy is -6.021 eV/atom. The value obtained for the size of the total moment is 0.000 μB per atom.

5.
This record from the Alexandria database describes Pu4TeS3 after structural relaxation. The functional is PBE-GGA.

The space group is P-3m1 (No. 164) and the conventional cell measures 3.9582, 3.9582 and 14.3602 Å, with angles of 90.00, 90.00 and 120.00 degrees. The asymmetric unit holds Pu at (0.3333, 0.6667, 0.3512), Pu at (0.3333, 0.6667, 0.8822), Te at (0.0000, 0.0000, 0.5000), S at (0.0000, 0.0000, 0.0000) and S at (0.0000, 0.0000, 0.2370).

The value obtained for the total energy is -10.594 eV/atom. The value obtained for the size of the total moment is 2.972 μB per atom.

6.
This record from the Alexandria database describes LaDy2Lu after structural relaxation. The functional is PBE-GGA.

The space group is P4/mmm (No. 123) and the conventional cell measures 3.574, 3.574 and 10.133 Å, with angles of 90.00, 90.00 and 90.00 degrees. The asymmetric unit holds La at (0.000, 0.000, 0.000), Dy at (0.500, 0.500, 0.260) and Lu at (0.000, 0.000, 0.500).

The polymorph energy (0 for the lowest one) is 8.4 meV per atom. The value obtained for the size of the total moment is 0.000 μB per atom. The calculated formation energy is 0.0376 eV per atom.

The highest size of the total moment belongs to which entry?
Pu4TeS3

size of the total moment of number 1 (LiAl2HgS4)?
0.000 μB per atom